w) Material: ZrNb2HAu
Method: DFT, PBE
State: relaxed

- mass density (g cm⁻³) = 10.1
- magnetization (μB/f.u.) = 0.0

The structure in CIF format:
```
data_ZrNb2HAu
_space_group_name_H-M_alt 'P 4/m m m'
_space_group_IT_number 123
_space_group_name_Hall '-P 4 2'
_cell_length_a 4.124
_cell_length_b 4.124
_cell_length_c 4.583
_cell_angle_alpha 90.00
_cell_angle_beta 90.00
_cell_angle_gamma 90.00
loop_
_atom_site_label
_atom_site_type_symbol
_atom_site_fract_x
_atom_site_fract_y
_atom_site_fract_z
_atom_site_occupancy
Zr1 Zr 0.000 0.000 0.000 1
Nb1 Nb 0.000 0.500 0.500 1
H1 H 0.000 0.000 0.500 1
Au1 Au 0.500 0.500 0.000 1
```



x) Material: ZrNb2HAu
Method: DFT, PBE
State: relaxed

- mass density (g cm⁻³) = 10.0
- magnetization (μB/f.u.) = 0.0

The structure in CIF format:
```
data_ZrNb2HAu
_space_group_name_H-M_alt 'P 4/m m m'
_space_group_IT_number 123
_space_group_name_Hall '-P 4 2'
_cell_length_a 4.069
_cell_length_b 4.069
_cell_length_c 4.764
_cell_angle_alpha 90.00
_cell_angle_beta 90.00
_cell_angle_gamma 90.00
loop_
_atom_site_label
_atom_site_type_symbol
_atom_site_fract_x
_atom_site_fract_y
_atom_site_fract_z
_atom_site_occupancy
Zr1 Zr 0.000 0.000 0.000 1
Nb1 Nb 0.000 0.500 0.500 1
H1 H 0.500 0.500 0.500 1
Au1 Au 0.500 0.500 0.000 1
```



What should be chosen as the most stable of them? Choose w).



w) Material: NiH2Au
Method: DFT, PBE
State: relaxed

- mass density (g cm⁻³) = 11.7
- magnetization (μB/f.u.) = 0.0

The structure in CIF format:
```
data_NiH2Au
_space_group_name_H-M_alt 'R 3 m'
_space_group_IT_number 160
_space_group_name_Hall 'R 3 -2"'
_cell_length_a 2.7905
_cell_length_b 2.7905
_cell_length_c 16.2017
_cell_angle_alpha 90.00
_cell_angle_beta 90.00
_cell_angle_gamma 120.00
loop_
_atom_site_label
_atom_site_type_symbol
_atom_site_fract_x
_atom_site_fract_y
_atom_site_fract_z
_atom_site_occupancy
Ni1 Ni 0.0000 0.0000 0.0000 1
H1 H 0.0000 0.0000 0.3679 1
H2 H 0.0000 0.0000 0.6280 1
Au1 Au 0.0000 0.0000 0.8281 1
```



x) Material: NiH2Au
Method: DFT, PBE
State: relaxed

- mass density (g cm⁻³) = 11.9
- magnetization (μB/f.u.) = 0.0

The structure in CIF format:
```
data_NiH2Au
_space_group_name_H-M_alt 'F m -3 m'
_space_group_IT_number 225
_space_group_name_Hall '-F 4 2 3'
_cell_length_a 5.239
_cell_length_b 5.239
_cell_length_c 5.239
_cell_angle_alpha 90.00
_cell_angle_beta 90.00
_cell_angle_gamma 90.00
loop_
_atom_site_label
_atom_site_type_symbol
_atom_site_fract_x
_atom_site_fract_y
_atom_site_fract_z
_atom_site_occupancy
Ni1 Ni 0.000 0.000 0.000 1
H1 H 0.250 0.250 0.250 1
Au1 Au 0.000 0.000 0.500 1
```



y) Material: NiH2Au
Method: DFT, PBE
State: relaxed

- mass density (g cm⁻³) = 11.7
- magnetization (μB/f.u.) = 0.0

The structure in CIF format:
```
data_NiH2Au
_space_group_name_H-M_alt 'I -4 2 d'
_space_group_IT_number 122
_space_group_name_Hall 'I -4 2bw'
_cell_length_a 4.128
_cell_length_b 4.128
_cell_length_c 8.568
_cell_angle_alpha 90.00
_cell_angle_beta 90.00
_cell_angle_gamma 90.00
loop_
_atom_site_label
_atom_site_type_symbol
_atom_site_fract_x
_atom_site_fract_y
_atom_site_fract_z
_atom_site_occupancy
Ni1 Ni 0.000 0.000 0.000 1
H1 H 0.171 0.250 0.125 1
Au1 Au 0.000 0.000 0.500 1
```



z) Material: NiH2Au
Method: DFT, PBE
State: relaxed

- mass density (g cm⁻³) = 11.9
- magnetization (μB/f.u.) = 0.0

The structure in CIF format:
```
data_NiH2Au
_space_group_name_H-M_alt 'R -3 m'
_space_group_IT_number 166
_space_group_name_Hall '-R 3 2"'
_cell_length_a 2.8283
_cell_length_b 2.8283
_cell_length_c 15.5666
_cell_angle_alpha 90.00
_cell_angle_beta 90.00
_cell_angle_gamma 120.00
loop_
_atom_site_label
_atom_site_type_symbol
_atom_site_fract_x
_atom_site_fract_y
_atom_site_fract_z
_atom_site_occupancy
Ni1 Ni 0.0000 0.0000 0.0000 1
H1 H 0.0000 0.0000 0.3738 1
Au1 Au 0.0000 0.0000 0.5000 1
```



What should be chosen as the most stable of them? Choose z).



w) Material: NiHAu2
Method: DFT, PBE
State: relaxed

- mass density (g cm⁻³) = 14.9
- magnetization (μB/f.u.) = 0.0

The structure in CIF format:
```
data_NiHAu2
_space_group_name_H-M_alt 'P 1'
_space_group_IT_number 1
_space_group_name_Hall 'P 1'
_cell_length_a 2.882
_cell_length_b 3.874
_cell_length_c 5.106
_cell_angle_alpha 111.78
_cell_angle_beta 106.12
_cell_angle_gamma 90.33
loop_
_atom_site_label
_atom_site_type_symbol
_atom_site_fract_x
_atom_site_fract_y
_atom_site_fract_z
_atom_site_occupancy
Ni1 Ni 0.000 0.000 0.000 1
H1 H 0.418 0.910 0.834 1
Au1 Au 0.325 0.322 0.651 1
Au2 Au 0.645 0.643 0.290 1
```



x) Material: NiHAu2
Method: DFT, PBE
State: relaxed

- mass density (g cm⁻³) = 15.0
- magnetization (μB/f.u.) = 0.0

The structure in CIF format:
```
data_NiHAu2
_space_group_name_H-M_alt 'P 3 m 1'
_space_group_IT_number 156
_space_group_name_Hall 'P 3 -2"'
_cell_length_a 2.8956
_cell_length_b 2.8956
_cell_length_c 6.9318
_cell_angle_alpha 90.00
_cell_angle_beta 90.00
_cell_angle_gamma 120.00
loop_
_atom_site_label
_atom_site_type_symbol
_atom_site_fract_x
_atom_site_fract_y
_atom_site_fract_z
_atom_site_occupancy
Ni1 Ni 0.0000 0.0000 0.0000 1
H1 H 0.6667 0.3333 0.9740 1
Au1 Au 0.3333 0.6667 0.3157 1
Au2 Au 0.6667 0.3333 0.6690 1
```



What should be chosen as the most stable of them? Choose x).



w) Material: NiHAu2
Method: DFT, PBE
State: relaxed

- mass density (g cm⁻³) = 14.8
- magnetization (μB/f.u.) = 0.0

The structure in CIF format:
```
data_NiHAu2
_space_group_name_H-M_alt 'F m m 2'
_space_group_IT_number 42
_space_group_name_Hall 'F 2 -2'
_cell_length_a 2.901
_cell_length_b 14.094
_cell_length_c 4.964
_cell_angle_alpha 90.00
_cell_angle_beta 90.00
_cell_angle_gamma 90.00
loop_
_atom_site_label
_atom_site_type_symbol
_atom_site_fract_x
_atom_site_fract_y
_atom_site_fract_z
_atom_site_occupancy
Ni1 Ni 0.000 0.000 0.000 1
H1 H 0.000 0.000 0.665 1
Au1 Au 0.000 0.161 0.650 1
```



x) Material: NiHAu2
Method: DFT, PBE
State: relaxed

- mass density (g cm⁻³) = 13.9
- magnetization (μB/f.u.) = 0.0

The structure in CIF format:
```
data_NiHAu2
_space_group_name_H-M_alt 'F m -3 m'
_space_group_IT_number 225
_space_group_name_Hall '-F 4 2 3'
_cell_length_a 6.002
_cell_length_b 6.002
_cell_length_c 6.002
_cell_angle_alpha 90.00
_cell_angle_beta 90.00
_cell_angle_gamma 90.00
loop_
_atom_site_label
_atom_site_type_symbol
_atom_site_fract_x
_atom_site_fract_y
_atom_site_fract_z
_atom_site_occupancy
Ni1 Ni 0.000 0.000 0.000 1
H1 H 0.000 0.000 0.500 1
Au1 Au 0.250 0.250 0.250 1
```



y) Material: NiHAu2
Method: DFT, PBE
State: relaxed

- mass density (g cm⁻³) = 13.3
- magnetization (μB/f.u.) = 0.0

The structure in CIF format:
```
data_NiHAu2
_space_group_name_H-M_alt 'A m m 2'
_space_group_IT_number 38
_space_group_name_Hall 'A 2 -2'
_cell_length_a 2.813
_cell_length_b 6.850
_cell_length_c 5.873
_cell_angle_alpha 90.00
_cell_angle_beta 90.00
_cell_angle_gamma 90.00
loop_
_atom_site_label
_atom_site_type_symbol
_atom_site_fract_x
_atom_site_fract_y
_atom_site_fract_z
_atom_site_occupancy
Ni1 Ni 0.000 0.000 0.000 1
H1 H 0.500 0.000 0.163 1
Au1 Au 0.500 0.210 0.701 1
```



What should be chosen as the most stable of them? Choose w).



w) Material: NiHAu2
Method: DFT, PBE
State: relaxed

- mass density (g cm⁻³) = 13.9
- magnetization (μB/f.u.) = 0.1

The structure in CIF format:
```
data_NiHAu2
_space_group_name_H-M_alt 'P 1 m 1'
_space_group_IT_number 6
_space_group_name_Hall 'P -2y'
_cell_length_a 2.815
_cell_length_b 2.929
_cell_length_c 6.618
_cell_angle_alpha 90.00
_cell_angle_beta 96.96
_cell_angle_gamma 90.00
loop_
_atom_site_label
_atom_site_type_symbol
_atom_site_fract_x
_atom_site_fract_y
_atom_site_fract_z
_atom_site_occupancy
Ni1 Ni 0.000 0.000 0.000 1
H1 H 0.138 0.500 0.465 1
Au1 Au 0.424 0.500 0.732 1
Au2 Au 0.581 0.500 0.271 1
```



x) Material: NiHAu2
Method: DFT, PBE
State: relaxed

- mass density (g cm⁻³) = 14.4
- magnetization (μB/f.u.) = 0.2

The structure in CIF format:
```
data_NiHAu2
_space_group_name_H-M_alt 'I -4 2 d'
_space_group_IT_number 122
_space_group_name_Hall 'I -4 2bw'
_cell_length_a 6.232
_cell_length_b 6.232
_cell_length_c 5.376
_cell_angle_alpha 90.00
_cell_angle_beta 90.00
_cell_angle_gamma 90.00
loop_
_atom_site_label
_atom_site_type_symbol
_atom_site_fract_x
_atom_site_fract_y
_atom_site_fract_z
_atom_site_occupancy
Ni1 Ni 0.000 0.000 0.000 1
H1 H 0.000 0.000 0.500 1
Au1 Au 0.164 0.250 0.625 1
```



y) Material: NiHAu2
Method: DFT, PBE
State: relaxed

- mass density (g cm⁻³) = 15.0
- magnetization (μB/f.u.) = 0.0

The structure in CIF format:
```
data_NiHAu2
_space_group_name_H-M_alt 'R 3 m'
_space_group_IT_number 160
_space_group_name_Hall 'R 3 -2"'
_cell_length_a 2.8855
_cell_length_b 2.8855
_cell_length_c 20.8536
_cell_angle_alpha 90.00
_cell_angle_beta 90.00
_cell_angle_gamma 120.00
loop_
_atom_site_label
_atom_site_type_symbol
_atom_site_fract_x
_atom_site_fract_y
_atom_site_fract_z
_atom_site_occupancy
Ni1 Ni 0.0000 0.0000 0.0000 1
H1 H 0.0000 0.0000 0.3319 1
Au1 Au 0.0000 0.0000 0.5585 1
Au2 Au 0.0000 0.0000 0.7737 1
```



z) Material: NiHAu2
Method: DFT, PBE
State: relaxed

- mass density (g cm⁻³) = 14.9
- magnetization (μB/f.u.) = 0.0

The structure in CIF format:
```
data_NiHAu2
_space_group_name_H-M_alt 'R 3 m'
_space_group_IT_number 160
_space_group_name_Hall 'R 3 -2"'
_cell_length_a 2.8862
_cell_length_b 2.8862
_cell_length_c 20.9743
_cell_angle_alpha 90.00
_cell_angle_beta 90.00
_cell_angle_gamma 120.00
loop_
_atom_site_label
_atom_site_type_symbol
_atom_site_fract_x
_atom_site_fract_y
_atom_site_fract_z
_atom_site_occupancy
Ni1 Ni 0.0000 0.0000 0.0000 1
H1 H 0.0000 0.0000 0.3246 1
Au1 Au 0.0000 0.0000 0.2233 1
Au2 Au 0.0000 0.0000 0.7717 1
```



What should be chosen as the most stable of them? Choose y).